Record 1
Entry from Alexandria via LeMat-Bulk: a geometry-optimized ErMgSc2C structure (GGA-PBE).

calculated total energy = -5.89 eV/atom

```
ErMgSc2C
1.0
4.976 0.000 0.000
0.000 4.595 0.000
0.000 0.000 4.595
C Sc Er Mg
1 2 1 1
Direct
0.000 0.000 0.000
0.000 0.000 0.500
0.000 0.500 0.000
0.500 0.000 0.000
0.500 0.500 0.500
```


Record 2
Entry from Alexandria via LeMat-Bulk: a geometry-optimized RbIn3Br structure (GGA-PBE).

distance to the lowest polymorph of the same formula = 0 meV/atom
ΔE_f (raw) = 0.02 eV/atom

```
RbIn3Br
1.0
-2.561 -2.762 4.792
5.525 -1.524 2.074
0.258 5.215 3.144
Rb In Br
1 3 1
Direct
0.500 0.500 0.500
0.000 0.000 0.500
0.500 0.000 0.000
0.000 0.500 0.000
0.000 0.000 0.000
```


Record 3
Entry from Alexandria via LeMat-Bulk: a geometry-optimized BaAl2Br structure (GGA-PBE).

distance to the lowest polymorph of the same formula = 213 meV/atom
ΔE_f (raw) = -0.32 eV/atom

```
BaAl2Br
1.0
-0.970 -3.693 0.559
1.206 0.394 4.698
-6.208 1.848 1.439
Al Br Ba
2 1 1
Direct
0.000 0.000 0.000
0.500 0.500 0.000
0.000 0.500 0.500
0.500 0.000 0.500
```


Which formula does entry 3 have?
BaAl2Br